No. 1
A relaxed KTaAu2Se4 crystal, computed with PBE.

Calculated values
As for the calculated volume: 30.635 A^3/atom. As for the energy: -0.353 Ry/atom.

The structure in extended XYZ format:
```
16
Lattice="3.021 -9.731 0.000 3.021 9.731 0.000 -0.001 0.000 8.338" Properties=species:S:1:pos:R:3 pbc="T T T"
Au 2.147 -2.395 4.955
K 3.921 3.586 4.953
Se 3.532 -7.445 2.843
Se 3.531 -7.444 7.068
Se 3.936 4.268 0.787
Se 3.532 7.444 2.899
Au 2.148 2.395 0.787
Se 3.666 0.166 0.786
Se 3.665 -0.166 4.955
Ta 5.175 -2.168 4.955
Ta 5.175 2.168 0.787
Se 3.935 -4.268 4.956
Se 3.532 7.445 7.012
Au 5.281 0.000 2.871
Au 5.280 0.000 7.040
K 3.922 -3.586 0.784
```

=====

No. 2
A relaxed KTaTeAuSe2 crystal, computed with PBE.

Calculated values
As for the calculated volume: 26.761 A^3/atom. As for the energy: -0.359 Ry/atom.

The structure in extended XYZ format:
```
12
Lattice="-0.838 7.418 -3.765 -2.255 -6.013 5.354 5.875 4.462 7.485" Properties=species:S:1:pos:R:3 pbc="T T T"
Au 2.797 3.459 6.809
Se 3.962 3.474 9.062
Se 1.433 1.553 5.840
K 3.249 7.742 3.901
Ta 2.937 2.231 3.743
Te 2.273 -1.515 10.186
Te 0.509 7.382 -1.112
K -0.467 -1.875 5.173
Se -1.180 2.394 0.013
Au -0.015 2.408 2.266
Ta 0.000 0.000 0.000
Se 1.349 4.314 3.234
```

=====

No. 3
A relaxed KTaTe2AuSe crystal, computed with PBE.

Calculated values
As for the calculated volume: 27.971 A^3/atom. As for the energy: -0.346 Ry/atom.

The structure in extended XYZ format:
```
12
Lattice="1.994 -8.057 0.000 1.994 8.057 0.000 0.000 0.000 10.449" Properties=species:S:1:pos:R:3 pbc="T T T"
Ta 1.994 0.000 0.000
Au 1.994 -7.315 7.837
K 1.994 -3.923 2.612
Te 1.994 6.013 0.265
Se 1.994 1.009 2.612
Te 1.994 -6.013 10.184
Ta 1.994 0.000 5.225
K 1.994 3.923 7.837
Se 1.994 -1.009 7.837
Au 1.994 7.315 2.612
Te 1.994 6.013 4.959
Te 1.994 -6.013 5.490
```

=====

No. 4
A relaxed KTbAuSe3 crystal, computed with PBE.

Calculated values
As for the calculated volume: 28.165 A^3/atom. As for the energy: -0.320 Ry/atom.

The structure in extended XYZ format:
```
12
Lattice="-6.884 3.814 1.204 5.087 -3.690 -4.888 -4.823 -9.347 2.037" Properties=species:S:1:pos:R:3 pbc="T T T"
Tb -0.898 0.062 -1.842
Se -1.162 -2.865 -1.812
Se -8.005 -2.322 1.544
Se 1.386 -6.901 -3.191
Tb -3.310 -4.612 -0.823
Au -10.128 -3.430 2.542
Se -5.457 -6.358 0.165
Se 3.287 -3.216 -3.994
K -5.005 -0.457 0.143
K -1.615 -8.767 -1.790
Au 3.508 -5.793 -4.189
Se -9.907 -6.007 2.347
```

=====

No. 5
A relaxed KTcAuSe3 crystal, computed with PBE.

Calculated values
As for the calculated volume: 25.063 A^3/atom. As for the energy: -0.330 Ry/atom.

The structure in extended XYZ format:
```
12
Lattice="7.702 -1.904 0.000 7.702 1.904 0.000 0.000 0.000 10.257" Properties=species:S:1:pos:R:3 pbc="T T T"
Se 13.620 0.000 0.184
Se 13.620 0.000 4.945
Se 8.647 0.000 2.564
Tc 7.702 0.000 5.128
Se 6.757 0.000 7.693
Se 1.784 0.000 5.312
Tc 7.702 0.000 0.000
Se 1.784 0.000 10.073
K 3.865 0.000 2.564
K 11.538 0.000 7.693
Au 1.011 0.000 7.693
Au 14.393 0.000 2.564
```

=====

No. 6
A relaxed KTcTeAuSe2 crystal, computed with PBE.

Calculated values
As for the calculated volume: 26.741 A^3/atom. As for the energy: -0.324 Ry/atom.

The structure in extended XYZ format:
```
12
Lattice="1.894 -8.016 0.000 1.894 8.016 0.000 0.000 0.000 10.567" Properties=species:S:1:pos:R:3 pbc="T T T"
Se 1.894 1.791 5.040
Se 1.894 -1.791 10.324
K 1.894 4.208 7.925
Se 1.894 -1.791 5.527
Au 1.894 1.015 2.642
Te 1.894 -6.875 7.925
Au 1.894 -1.015 7.925
Se 1.894 1.791 0.243
Te 1.894 6.875 2.642
Tc 0.000 0.000 5.284
Tc 0.000 0.000 0.000
K 1.894 -4.208 2.642
```

=====

No. 7
A relaxed KTeWAuSe2 crystal, computed with PBE.

Calculated values
As for the calculated volume: 27.557 A^3/atom. As for the energy: -0.350 Ry/atom.

The structure in extended XYZ format:
```
12
Lattice="-1.645 6.298 -4.895 0.613 -7.984 1.486 -10.136 -0.190 3.161" Properties=species:S:1:pos:R:3 pbc="T T T"
Te -7.157 -7.062 3.382
W -5.068 -0.095 1.581
W 0.000 0.000 0.000
Te -4.011 5.186 -3.629
K -2.445 -4.715 0.795
Se -5.561 0.638 -0.910
Au -7.989 -1.803 1.032
Se -1.035 0.722 -2.322
Au -3.179 -0.073 -1.279
Se -10.133 -2.599 2.074
K -8.723 2.839 -1.042
Se -5.607 -2.514 0.662
```

=====

No. 8
A relaxed KTe2WAuSe crystal, computed with PBE.

Calculated values
As for the calculated volume: 28.498 A^3/atom. As for the energy: -0.338 Ry/atom.

The structure in extended XYZ format:
```
12
Lattice="5.777 4.861 -3.236 -5.793 -5.773 -0.766 -7.189 7.435 -1.664" Properties=species:S:1:pos:R:3 pbc="T T T"
K -2.396 7.882 -3.890
Te -5.137 2.099 -2.562
Te 1.273 0.969 -2.331
Au -1.213 1.948 -2.543
Au -5.993 4.576 -3.122
K -4.810 -1.358 -1.776
Se -10.515 0.419 -2.157
Se 3.310 6.105 -3.509
W 0.000 0.000 0.000
Te -2.068 4.425 -3.104
Te -8.478 5.554 -3.335
W -3.595 3.717 -0.832
```

=====

Number 7 is which compound? KTeWAuSe2

=====

Which of these has the lowest energy? KTaTeAuSe2